Density functional theory data (PBE) for a relaxed structure of PaInCo.

Cell lengths 4.806, 4.258, 6.849 Å; angles 71.89, 90.00, 90.00 degrees
Positions (direct):
In 0.750 0.587 0.827
In 0.250 0.413 0.173
Co 0.500 0.000 0.000
Co 0.000 0.000 0.000
Pa 0.750 0.839 0.322
Pa 0.250 0.161 0.678

Computed properties:
* spin magnetization: 1.13 μB/cell
* energy: -6.42 eV/atom


Density functional theory data (PBE) for a relaxed structure of PaInCo.

Cell lengths 3.144, 3.144, 6.319 Å; angles 104.41, 104.41, 90.00 degrees
Positions (direct):
Pa 0.304 0.304 0.608
Co 0.673 0.673 0.345
In 0.024 0.024 0.047

Computed properties:
* spin magnetization: 0.00 μB/cell
* energy: -6.64 eV/atom


Density functional theory data (PBE) for a relaxed structure of PaInCo.

Cell lengths 4.512, 4.512, 4.512 Å; angles 60.00, 60.00, 60.00 degrees
Positions (direct):
Pa 0.000 0.000 0.000
Co 0.250 0.250 0.250
In 0.500 0.500 0.500

Computed properties:
* spin magnetization: 0.00 μB/cell
* energy: -6.56 eV/atom


Density functional theory data (PBE) for a relaxed structure of PaInCo4.

Cell lengths 4.972, 4.972, 4.972 Å; angles 60.00, 60.00, 60.00 degrees
Positions (direct):
Pa 0.250 0.250 0.250
Co 0.626 0.626 0.122
Co 0.626 0.122 0.626
Co 0.626 0.626 0.626
Co 0.122 0.626 0.626
In 0.000 0.000 0.000

Computed properties:
* spin magnetization: 1.83 μB/cell
* energy: -6.94 eV/atom